1.
This record from Alexandria describes a relaxed LaPPd2Rh crystal. The functional is PBE.

Geometry as POSCAR:
```
LaPPd2Rh
1.0
4.623 0.000 0.000
0.000 4.623 0.000
0.000 0.000 4.591
La P Pd Rh
1 1 2 1
Direct
0.000 0.000 0.000
0.500 0.500 0.500
0.000 0.500 0.500
0.500 0.000 0.500
0.500 0.500 0.000
```

Results
Its density is 8.218 g cm⁻³. The value obtained for the formation energy is -3.5 eV per formula unit. The total energy is -6.312 eV per atom. The spin magnetization is 0.00 μB/atom.

---

2.
This record from Alexandria describes a relaxed LaP2PdRu crystal. The functional is PBE.

Geometry as POSCAR:
```
LaP2PdRu
1.0
-2.045 2.045 5.123
2.045 -2.045 5.123
2.045 2.045 -5.123
La P Pd Ru
1 2 1 1
Direct
0.000 0.000 0.000
0.383 0.383 0.000
0.617 0.617 0.000
0.750 0.250 0.500
0.250 0.750 0.500
```

Results
Its density is 7.916 g cm⁻³. The value obtained for the formation energy is -4.5 eV per formula unit. The total energy is -6.935 eV per atom. The spin magnetization is 0.00 μB/atom.

---

3.
This record from Alexandria describes a relaxed LaP2PdS8 crystal. The functional is PBE.

Geometry as POSCAR:
```
LaP2PdS8
1.0
5.803 0.000 0.000
-2.902 5.026 0.000
0.000 0.000 8.495
La P Pd S
1 2 1 8
Direct
0.000 0.000 0.000
0.333 0.667 0.752
0.667 0.333 0.248
0.000 0.000 0.500
0.007 0.685 0.309
0.315 0.322 0.309
0.322 0.007 0.691
0.333 0.667 0.992
0.667 0.333 0.008
0.678 0.993 0.309
0.685 0.678 0.691
0.993 0.315 0.691
```

Results
Its density is 3.778 g cm⁻³. The total energy is -5.049 eV per atom. As for the uncorrected formation energy: -6.627 eV per formula unit. The spin magnetization is 0.00 μB/atom.

---

4.
This record from Alexandria describes a relaxed LaPPdS2 crystal. The functional is PBE.

Geometry as POSCAR:
```
LaPPdS2
1.0
5.455 0.000 0.000
0.000 5.455 0.000
0.000 0.000 5.685
La P Pd S
1 1 1 2
Direct
0.000 0.000 0.000
0.000 0.000 0.500
0.500 0.500 0.500
0.000 0.500 0.000
0.500 0.000 0.000
```

Results
Its density is 3.342 g cm⁻³. The total energy is -4.237 eV per atom. As for the uncorrected formation energy: 2.601 eV per formula unit. The spin magnetization is 0.60 μB/atom. The energy relative to the lowest polymorph listed for this composition comes out at 1190 meV per atom.

---

5.
This record from Alexandria describes a relaxed LaPPdS2 crystal. The functional is PBE.

Geometry as POSCAR:
```
LaPPdS2
1.0
4.802 0.000 0.000
0.000 4.802 0.000
0.000 0.000 4.601
La P Pd S
1 1 1 2
Direct
0.000 0.000 0.000
0.500 0.500 0.000
0.500 0.500 0.500
0.000 0.500 0.500
0.500 0.000 0.500
```

Results
Its density is 5.328 g cm⁻³. The total energy is -5.427 eV per atom. As for the uncorrected formation energy: -3.350 eV per formula unit. The spin magnetization is 0.00 μB/atom. The energy relative to the lowest polymorph listed for this composition comes out at 0 meV per atom.

---

6.
This record from Alexandria describes a relaxed LaP2PdS crystal. The functional is PBE.

Geometry as POSCAR:
```
LaP2PdS
1.0
5.542 0.000 0.000
0.000 5.542 0.000
0.000 0.000 5.377
La P Pd S
1 2 1 1
Direct
0.000 0.000 0.000
0.000 0.500 0.000
0.500 0.000 0.000
0.500 0.500 0.500
0.000 0.000 0.500
```

Results
Its density is 3.412 g cm⁻³. The total energy is -4.128 eV per atom. As for the uncorrected formation energy: 4.429 eV per formula unit. The spin magnetization is 0.26 μB/atom. The energy relative to the lowest polymorph listed for this composition comes out at 1330 meV per atom.

---

Which of these has the highest spin magnetization? number 4